Computed, not measured: an optimized crystal structure of LiMnFe2 at the PBEsol level of DFT.

a = 2.4317 Å, b = 2.4317 Å, c = 24.8653 Å
α = 90.00°, β = 90.00°, γ = 120.00°
Space group R-3m (No. 166, hexagonal axes)
Inequivalent atoms, fractional coordinates:
Li 0.0000 0.0000 0.0000 x3
Mn 0.0000 0.0000 0.5000 x3
Fe 0.0000 0.0000 0.2434 x6

Energy above the lowest structure with this stoichiometry   0.000 eV/atom
Energy relative to the elements   4.94 kcal/mol of atoms

Computed, not measured: an optimized crystal structure of KPt3 at the PBEsol level of DFT.

a = 2.7736 Å, b = 2.7736 Å, c = 10.1340 Å
α = 90.00°, β = 90.00°, γ = 120.00°
Space group P-6m2 (No. 187)
Inequivalent atoms, fractional coordinates:
K 0.0000 0.0000 0.0000 x1
Pt 0.0000 0.0000 0.5000 x1
Pt 0.6667 0.3333 0.2704 x2

Energy above the lowest structure with this stoichiometry   0.293 eV/atom
Energy relative to the elements   6.08 kcal/mol of atoms

Computed, not measured: an optimized crystal structure of Li2Mn2OF6 at the PBEsol level of DFT.

a = 9.632 Å, b = 9.769 Å, c = 5.366 Å
α = 90.00°, β = 97.18°, γ = 90.00°
Space group C2/c (No. 15)
Inequivalent atoms, fractional coordinates:
Li 0.165 0.141 0.441 x8
Mn 0.116 0.376 0.992 x8
O 0.000 0.477 0.750 x4
F 0.011 0.239 0.500 x8
F 0.231 0.024 0.075 x8
F 0.235 0.279 0.241 x8

Formation energy from raw total energies   -2.417 eV per atom
Energy above the lowest structure with this stoichiometry   0.019 eV/atom

Computed, not measured: an optimized crystal structure of ZrZnRe2 at the PBEsol level of DFT.

a = 6.310 Å, b = 6.310 Å, c = 6.310 Å
α = 90.00°, β = 90.00°, γ = 90.00°
Space group F-43m (No. 216)
Inequivalent atoms, fractional coordinates:
Zr 0.000 0.000 0.000 x4
Zn 0.250 0.250 0.250 x4
Re 0.000 0.000 0.500 x4
Re 0.250 0.250 0.750 x4

Energy relative to the elements   2.15 kcal/mol of atoms

Computed, not measured: an optimized crystal structure of MnCd3S at the PBEsol level of DFT.

a = 5.036 Å, b = 5.036 Å, c = 5.036 Å
α = 90.00°, β = 90.00°, γ = 90.00°
Space group Pm-3m (No. 221)
Inequivalent atoms, fractional coordinates:
Mn 0.000 0.000 0.000 x1
Cd 0.000 0.000 0.500 x3
S 0.500 0.500 0.500 x1

Formation energy from raw total energies   0.832 eV per atom

Computed, not measured: an optimized crystal structure of PPb4Br at the PBEsol level of DFT.

a = 8.876 Å, b = 8.876 Å, c = 8.876 Å
α = 90.00°, β = 90.00°, γ = 90.00°
Space group F-43m (No. 216)
Inequivalent atoms, fractional coordinates:
P 0.000 0.000 0.000 x4
Pb 0.126 0.126 0.374 x16
Br 0.250 0.250 0.750 x4

Formation energy from raw total energies   0.420 eV per atom

Computed, not measured: an optimized crystal structure of Co3ReTe at the PBEsol level of DFT.

a = 4.453 Å, b = 4.453 Å, c = 4.453 Å
α = 90.00°, β = 90.00°, γ = 90.00°
Space group Pm-3m (No. 221)
Inequivalent atoms, fractional coordinates:
Co 0.000 0.000 0.500 x3
Re 0.500 0.500 0.500 x1
Te 0.000 0.000 0.000 x1

Formation energy from raw total energies   1.920 eV per atom

Computed, not measured: an optimized crystal structure of CaHoCr2O6 at the PBEsol level of DFT.

a = 7.432 Å, b = 5.417 Å, c = 5.193 Å
α = 90.00°, β = 90.00°, γ = 90.00°
Space group Pmn2_1 (No. 31)
Inequivalent atoms, fractional coordinates:
Ca 0.000 0.197 0.000 x2
Ho 0.000 0.684 0.470 x2
Cr 0.250 0.245 0.487 x4
O 0.000 0.279 0.571 x2
O 0.000 0.775 0.887 x2
O 0.200 0.947 0.293 x4
O 0.204 0.459 0.194 x4

Formation energy from raw total energies   -2.661 eV per atom